Entry 1:
Computed, not measured: LiCaHPt2 after structural relaxation at the PBE level of DFT.

The value obtained for the energy is -4.4359 eV/atom. The value obtained for the density is 10.23 Mg/m³.

The space group is P4/mmm (No. 123) and the conventional cell measures 4.131, 4.131 and 4.169 Å, with angles of 90.00, 90.00 and 90.00 degrees. The inequivalent atoms are Li at (0.000, 0.000, 0.000), Ca at (0.500, 0.500, 0.000), H at (0.000, 0.000, 0.500) and Pt at (0.000, 0.500, 0.500).

Entry 2:
Computed, not measured: Li3Ca2PuH12 after structural relaxation at the PBE level of DFT.

The value obtained for the energy is -3.7680 eV/atom. The value obtained for the density is 3.08 Mg/m³.

The space group is R-3m (No. 166, hexagonal axes) and the conventional cell measures 7.3951, 7.3951 and 12.1875 Å, with angles of 90.00, 90.00 and 120.00 degrees. The inequivalent atoms are Li at (0.0000, 0.5000, 0.0000), Ca at (0.0000, 0.0000, 0.1844), Pu at (0.0000, 0.0000, 0.5000), H at (0.0061, 0.5031, 0.1465) and H at (0.0984, 0.1969, 0.6492).

Entry 3:
Computed, not measured: RbLiCa2H after structural relaxation at the PBE level of DFT.

The value obtained for the energy is -1.9892 eV/atom. The value obtained for the density is 1.78 Mg/m³.

The space group is P4/mmm (No. 123) and the conventional cell measures 5.151, 5.151 and 6.112 Å, with angles of 90.00, 90.00 and 90.00 degrees. The inequivalent atoms are Rb at (0.000, 0.000, 0.000), Li at (0.500, 0.500, 0.000), Ca at (0.000, 0.500, 0.500) and H at (0.000, 0.000, 0.500).

Please write out number 2 again, unchanged.
Computed, not measured: Li3Ca2PuH12 after structural relaxation at the PBE level of DFT.

The value obtained for the energy is -3.7680 eV/atom. The value obtained for the density is 3.08 Mg/m³.

The space group is R-3m (No. 166, hexagonal axes) and the conventional cell measures 7.3951, 7.3951 and 12.1875 Å, with angles of 90.00, 90.00 and 120.00 degrees. The inequivalent atoms are Li at (0.0000, 0.5000, 0.0000), Ca at (0.0000, 0.0000, 0.1844), Pu at (0.0000, 0.0000, 0.5000), H at (0.0061, 0.5031, 0.1465) and H at (0.0984, 0.1969, 0.6492).

Question: Among the records above, which one has the lowest energy?
Answer: LiCaHPt2

Question: Which of these has the highest energy?
Answer: RbLiCa2H

Question: Which of these has the highest energy?
Answer: RbLiCa2H